LiNd3Si6Pd2: relaxed, PBE.

Summary:
VASP energy = -64.371 eV per cell
D(E_F) = 0.308 states/eV per atom

Cell lengths 5.9056, 5.9056, 8.1081 Å; angles 90.00, 90.00, 120.00 degrees
Positions (direct):
Li1 0.0000 0.0000 0.0000
Nd1 0.0000 0.0000 0.5000
Nd2 0.3333 0.6667 0.1240
Nd3 0.6667 0.3333 0.8760
Si1 0.1962 0.3925 0.7834
Si2 0.1962 0.8038 0.7834
Si3 0.3925 0.1962 0.2166
Si4 0.6075 0.8038 0.7834
Si5 0.8038 0.1962 0.2166
Si6 0.8038 0.6075 0.2166
Pd1 0.3333 0.6667 0.5304
Pd2 0.6667 0.3333 0.4696